[1]
Compound: CaNd5Ga3
Source: Alexandria via LeMat-Bulk
Functional: PBE-GGA
Structure: optimized geometry

## Properties
Crystal system: hexagonal
DFT total energy: -4.26 eV per atom
Space-group type: P6_3/mcm, No. 193
Size of the total moment: 0.0 μB per formula unit

Cell lengths 6.797, 9.232, 9.233 Å; angles 120.00, 90.00, 90.00 degrees
Fractional positions:
Nd (0.000, 0.333, 0.666)
Nd (0.000, 0.667, 0.334)
Nd (0.250, 0.666, 0.000)
Ga (0.750, 0.332, 0.332)
Nd (0.500, 0.333, 0.666)
Nd (0.500, 0.667, 0.334)
Nd (0.250, 0.000, 0.666)
Ca (0.500, 0.000, 0.000)
Nd (0.750, 0.334, 0.000)
Ga (0.750, 0.000, 0.668)
Ga (0.250, 0.332, 0.000)
Ga (0.250, 0.000, 0.332)
Nd (0.750, 0.000, 0.334)
Ga (0.750, 0.668, 0.000)
Ga (0.250, 0.668, 0.668)
Nd (0.750, 0.666, 0.666)
Ca (0.000, 0.000, 0.000)
Nd (0.250, 0.334, 0.334)


[2]
Compound: CaNd2Ga2
Source: Alexandria via LeMat-Bulk
Functional: PBE-GGA
Structure: optimized geometry

## Properties
Crystal system: monoclinic
DFT total energy: -3.81 eV per atom
Space-group type: C2/m, No. 12
Polymorph energy (0 for the lowest one): 173.0 meV per atom
Size of the total moment: 0.0 μB per formula unit

Cell lengths 4.200, 6.141, 6.261 Å; angles 102.12, 109.60, 90.00 degrees
Fractional positions:
Ca (0.000, 0.000, 0.000)
Ga (0.279, 0.894, 0.558)
Ga (0.721, 0.106, 0.442)
Nd (0.647, 0.571, 0.294)
Nd (0.353, 0.429, 0.706)


[3]
Compound: Ca5NdGa6
Source: Alexandria via LeMat-Bulk
Functional: PBE-GGA
Structure: optimized geometry

## Properties
Crystal system: monoclinic
DFT total energy: -3.20 eV per atom
Space-group type: C2/m, No. 12
Size of the total moment: 0.0 μB per formula unit

Cell lengths 5.210, 9.025, 9.025 Å; angles 120.36, 106.76, 106.76 degrees
Fractional positions:
Ca (0.500, 0.500, 0.500)
Ca (0.000, 0.333, 0.667)
Ga (0.251, 0.418, 0.088)
Ga (0.753, 0.253, 0.253)
Ca (0.000, 0.667, 0.333)
Ga (0.749, 0.912, 0.582)
Ca (0.500, 0.170, 0.830)
Ga (0.749, 0.582, 0.912)
Ca (0.500, 0.830, 0.170)
Ga (0.251, 0.088, 0.418)
Ga (0.247, 0.747, 0.747)
Nd (0.000, 0.000, 0.000)


[4]
Compound: CaNdGa
Source: Alexandria via LeMat-Bulk
Functional: PBE-GGA
Structure: optimized geometry

## Properties
Crystal system: hexagonal
DFT total energy: -3.69 eV per atom
Space-group type: P6_3/mmc, No. 194
Polymorph energy (0 for the lowest one): 0.0 meV per atom
Size of the total moment: 0.0 μB per formula unit

Cell lengths 5.308, 5.308, 6.808 Å; angles 90.00, 90.00, 119.98 degrees
Fractional positions:
Ga (0.333, 0.167, 0.750)
Ca (0.000, 0.500, 0.500)
Ga (0.667, 0.833, 0.250)
Nd (0.333, 0.167, 0.250)
Ca (0.000, 0.500, 0.000)
Nd (0.667, 0.833, 0.750)


[5]
Compound: CaNd3Ga3
Source: Alexandria via LeMat-Bulk
Functional: PBE-GGA
Structure: optimized geometry

## Properties
Crystal system: orthorhombic
DFT total energy: -4.04 eV per atom
Space-group type: Cmmm, No. 65
Size of the total moment: 0.0 μB per formula unit

Cell lengths 7.385, 7.385, 7.169 Å; angles 90.00, 90.00, 91.12 degrees
Fractional positions:
Nd (0.778, 0.222, 0.000)
Ga (0.000, 0.500, 0.754)
Ga (0.000, 0.000, 0.265)
Ga (0.000, 0.000, 0.735)
Ca (0.720, 0.720, 0.000)
Nd (0.756, 0.756, 0.500)
Ga (0.000, 0.500, 0.246)
Nd (0.732, 0.268, 0.500)
Ca (0.280, 0.280, 0.000)
Ga (0.500, 0.000, 0.246)
Nd (0.222, 0.778, 0.000)
Ga (0.500, 0.000, 0.754)
Nd (0.268, 0.732, 0.500)
Nd (0.244, 0.244, 0.500)


[6]
Compound: CaNdGa4
Source: Alexandria via LeMat-Bulk
Functional: PBE-GGA
Structure: optimized geometry

## Properties
Crystal system: tetragonal
DFT total energy: -3.71 eV per atom
Space-group type: I-4m2, No. 119
Polymorph energy (0 for the lowest one): 0.0 meV per atom
Size of the total moment: 0.0 μB per formula unit

Cell lengths 4.270, 4.270, 8.117 Å; angles 105.25, 105.25, 90.00 degrees
Fractional positions:
Nd (0.000, 0.000, 0.000)
Ga (0.582, 0.582, 0.165)
Ga (0.833, 0.333, 0.665)
Ca (0.250, 0.750, 0.500)
Ga (0.418, 0.418, 0.835)
Ga (0.667, 0.167, 0.335)


[7]
Compound: Ca4NdGa5
Source: Alexandria via LeMat-Bulk
Functional: PBE-GGA
Structure: optimized geometry

## Properties
Crystal system: tetragonal
DFT total energy: -3.25 eV per atom
Space-group type: P4/mmm, No. 123
Size of the total moment: 0.0 μB per formula unit

Cell lengths 3.693, 3.693, 18.235 Å; angles 90.00, 90.00, 90.00 degrees
Fractional positions:
Ca (0.000, 0.000, 0.203)
Nd (0.000, 0.000, 0.000)
Ga (0.500, 0.500, 0.102)
Ga (0.500, 0.500, 0.898)
Ga (0.500, 0.500, 0.500)
Ca (0.000, 0.000, 0.797)
Ca (0.000, 0.000, 0.600)
Ga (0.500, 0.500, 0.301)
Ca (0.000, 0.000, 0.400)
Ga (0.500, 0.500, 0.699)


[8]
Compound: CaNd2Ga2
Source: Alexandria via LeMat-Bulk
Functional: PBE-GGA
Structure: optimized geometry

## Properties
Crystal system: tetragonal
DFT total energy: -3.98 eV per atom
Space-group type: P4/mbm, No. 127
Polymorph energy (0 for the lowest one): 0.0 meV per atom
Size of the total moment: 0.0 μB per formula unit

Cell lengths 4.411, 7.986, 7.986 Å; angles 90.00, 90.00, 90.00 degrees
Fractional positions:
Ga (0.000, 0.616, 0.116)
Ca (0.000, 0.000, 0.000)
Ga (0.000, 0.116, 0.384)
Ga (0.000, 0.884, 0.616)
Ca (0.000, 0.500, 0.500)
Nd (0.500, 0.676, 0.824)
Nd (0.500, 0.324, 0.176)
Ga (0.000, 0.384, 0.884)
Nd (0.500, 0.176, 0.676)
Nd (0.500, 0.824, 0.324)


[9]
Compound: CaNdGa
Source: Alexandria via LeMat-Bulk
Functional: PBE-GGA
Structure: optimized geometry

## Properties
Crystal system: cubic
DFT total energy: -3.53 eV per atom
Space-group type: F-43m, No. 216
Polymorph energy (0 for the lowest one): 166.4 meV per atom
Size of the total moment: 0.0 μB per formula unit

Cell lengths 5.146, 5.146, 5.146 Å; angles 60.00, 60.00, 60.00 degrees
Fractional positions:
Ca (0.500, 0.500, 0.500)
Ga (0.250, 0.250, 0.250)
Nd (0.000, 0.000, 0.000)


[10]
Compound: Ca3Nd2Ga3
Source: Alexandria via LeMat-Bulk
Functional: PBE-GGA
Structure: optimized geometry

## Properties
Crystal system: hexagonal
DFT total energy: -3.46 eV per atom
Space-group type: P6_3/mcm, No. 193
Size of the total moment: 0.0 μB per formula unit

Cell lengths 6.819, 9.002, 9.002 Å; angles 60.00, 90.00, 90.00 degrees
Fractional positions:
Ga (0.250, 0.600, 0.000)
Ca (0.750, 0.000, 0.254)
Ga (0.750, 0.400, 0.000)
Ca (0.750, 0.254, 0.746)
Ca (0.250, 0.254, 0.000)
Ga (0.250, 0.400, 0.600)
Ga (0.250, 0.000, 0.400)
Nd (0.500, 0.333, 0.333)
Ca (0.750, 0.746, 0.000)
Ga (0.750, 0.600, 0.400)
Nd (0.000, 0.667, 0.667)
Ca (0.250, 0.000, 0.746)
Ca (0.250, 0.746, 0.254)
Ga (0.750, 0.000, 0.600)
Nd (0.500, 0.667, 0.667)
Nd (0.000, 0.333, 0.333)


[11]
Compound: CaNdGa4
Source: Alexandria via LeMat-Bulk
Functional: PBE-GGA
Structure: optimized geometry

## Properties
Crystal system: cubic
DFT total energy: -3.64 eV per atom
Space-group type: F-43m, No. 216
Polymorph energy (0 for the lowest one): 69.1 meV per atom
Size of the total moment: 0.0 μB per formula unit

Cell lengths 5.624, 5.624, 5.624 Å; angles 60.00, 60.00, 60.00 degrees
Fractional positions:
Ga (0.625, 0.625, 0.625)
Ca (0.250, 0.250, 0.250)
Nd (0.000, 0.000, 0.000)
Ga (0.124, 0.625, 0.625)
Ga (0.625, 0.124, 0.625)
Ga (0.625, 0.625, 0.124)


[12]
Compound: CaNdGa
Source: Alexandria via LeMat-Bulk
Functional: PBE-GGA
Structure: optimized geometry

## Properties
Crystal system: trigonal
DFT total energy: -3.48 eV per atom
Space-group type: P3m1, No. 156
Polymorph energy (0 for the lowest one): 209.7 meV per atom
Size of the total moment: 0.0 μB per formula unit

Cell lengths 3.879, 5.101, 5.101 Å; angles 120.00, 90.00, 90.00 degrees
Fractional positions:
Ca (0.937, 0.000, 0.000)
Nd (0.397, 0.333, 0.667)
Ga (0.666, 0.667, 0.333)


| no. | DOS(E_F) (states/eV per atom) | DFT formation energy (kJ/mol of atoms) |
| --- | --- | --- |
| 1 | 0.890 | -36.9 |
| 2 | 1.062 | -27.7 |
| 3 | 0.581 | -44.3 |
| 4 | 0.324 | -41.2 |
| 5 | 0.824 | -40.1 |
| 6 | 0.624 | -54.1 |
| 7 | 0.562 | -44.6 |
| 8 | 1.617 | -44.4 |
| 9 | 0.592 | -25.2 |
| 10 | 0.928 | -37.3 |
| 11 | 0.556 | -47.5 |
| 12 | 0.546 | -21.0 |